No. 1
# PBE Ti2Nb5W2, relaxed
# **V**: 332.3 Å³/cell
# **Energy relative to the elements**: 433 meV per atom
# **M_tot**: 0.000 Bohr magnetons per cell
# **SG**: Cmce
data_Ti2Nb5W2
_chemical_formula_sum 'Ti4 Nb10 W4'
_cell_length_a 6.742
_cell_length_b 6.873
_cell_length_c 7.952
_cell_angle_alpha 115.60
_cell_angle_beta 90.00
_cell_angle_gamma 90.00
_symmetry_space_group_name_H-M 'P 1'
_symmetry_Int_Tables_number 1
loop_
_symmetry_equiv_pos_as_xyz
'x,y,z'
loop_
_atom_site_label
_atom_site_type_symbol
_atom_site_fract_x
_atom_site_fract_y
_atom_site_fract_z
_atom_site_occupancy
W1 W 0.369 0.133 0.000 1
W2 W 0.131 0.633 0.000 1
W3 W 0.869 0.367 0.000 1
W4 W 0.631 0.867 0.000 1
Ti1 Ti 0.000 0.762 0.523 1
Ti2 Ti 0.000 0.238 0.477 1
Ti3 Ti 0.500 0.738 0.477 1
Ti4 Ti 0.500 0.262 0.523 1
Nb1 Nb 0.303 0.666 0.723 1
Nb2 Nb 0.197 0.166 0.723 1
Nb3 Nb 0.803 0.556 0.723 1
Nb4 Nb 0.697 0.334 0.277 1
Nb5 Nb 0.803 0.834 0.277 1
Nb6 Nb 0.197 0.444 0.277 1
Nb7 Nb 0.000 0.000 0.000 1
Nb8 Nb 0.500 0.500 0.000 1
Nb9 Nb 0.697 0.056 0.723 1
Nb10 Nb 0.303 0.944 0.277 1


No. 2
# PBE Ba2FeMo, relaxed
# **V**: 114.3 Å³/cell
# **Energy relative to the elements**: 1310 meV per atom
# **M_tot**: 5.906 Bohr magnetons per cell
# **SG**: F-43m
data_Ba2FeMo
_chemical_formula_sum 'Ba2 Fe1 Mo1'
_cell_length_a 5.447
_cell_length_b 5.447
_cell_length_c 5.447
_cell_angle_alpha 60.00
_cell_angle_beta 60.00
_cell_angle_gamma 60.00
_symmetry_space_group_name_H-M 'P 1'
_symmetry_Int_Tables_number 1
loop_
_symmetry_equiv_pos_as_xyz
'x,y,z'
loop_
_atom_site_label
_atom_site_type_symbol
_atom_site_fract_x
_atom_site_fract_y
_atom_site_fract_z
_atom_site_occupancy
Fe1 Fe 0.500 0.500 0.500 1
Mo1 Mo 0.750 0.750 0.750 1
Ba1 Ba 0.250 0.250 0.250 1
Ba2 Ba 0.000 0.000 0.000 1


No. 3
# PBE Al3Os5, relaxed
# **V**: 225.8 Å³/cell
# **Energy relative to the elements**: 0 meV per atom
# **M_tot**: 0.000 Bohr magnetons per cell
# **SG**: I4/mcm
data_Al3Os5
_chemical_formula_sum 'Al6 Os10'
_cell_length_a 7.217
_cell_length_b 7.217
_cell_length_c 7.215
_cell_angle_alpha 96.64
_cell_angle_beta 96.64
_cell_angle_gamma 140.27
_symmetry_space_group_name_H-M 'P 1'
_symmetry_Int_Tables_number 1
loop_
_symmetry_equiv_pos_as_xyz
'x,y,z'
loop_
_atom_site_label
_atom_site_type_symbol
_atom_site_fract_x
_atom_site_fract_y
_atom_site_fract_z
_atom_site_occupancy
Os1 Os 0.250 0.750 0.501 1
Os2 Os 0.571 0.272 0.843 1
Os3 Os 0.749 0.250 0.499 1
Os4 Os 0.228 0.928 0.157 1
Os5 Os 0.071 0.228 0.299 1
Os6 Os 0.428 0.728 0.157 1
Os7 Os 0.272 0.429 0.701 1
Os8 Os 0.728 0.571 0.299 1
Os9 Os 0.771 0.072 0.843 1
Os10 Os 0.928 0.772 0.701 1
Al1 Al 0.326 0.174 0.500 1
Al2 Al 0.826 0.326 0.152 1
Al3 Al 0.674 0.826 0.500 1
Al4 Al 0.173 0.674 0.848 1
Al5 Al 0.250 0.250 0.000 1
Al6 Al 0.750 0.750 0.000 1


No. 4
# PBE Hf3GeRu4, relaxed
# **V**: 130.5 Å³/cell
# **Energy relative to the elements**: -694 meV per atom
# **M_tot**: 0.000 Bohr magnetons per cell
# **SG**: Pmmm
data_Hf3GeRu4
_chemical_formula_sum 'Hf3 Ge1 Ru4'
_cell_length_a 3.240
_cell_length_b 4.485
_cell_length_c 8.978
_cell_angle_alpha 90.00
_cell_angle_beta 90.00
_cell_angle_gamma 90.00
_symmetry_space_group_name_H-M 'P 1'
_symmetry_Int_Tables_number 1
loop_
_symmetry_equiv_pos_as_xyz
'x,y,z'
loop_
_atom_site_label
_atom_site_type_symbol
_atom_site_fract_x
_atom_site_fract_y
_atom_site_fract_z
_atom_site_occupancy
Ru1 Ru 0.000 0.000 0.000 1
Ru2 Ru 0.000 0.000 0.500 1
Ru3 Ru 0.000 0.500 0.242 1
Ru4 Ru 0.000 0.500 0.758 1
Hf1 Hf 0.500 0.000 0.241 1
Hf2 Hf 0.500 0.000 0.759 1
Hf3 Hf 0.500 0.500 0.500 1
Ge1 Ge 0.500 0.500 0.000 1


No. 5
# PBE PuScIrRh, relaxed
# **V**: 74.3 Å³/cell
# **Energy relative to the elements**: -673 meV per atom
# **M_tot**: 4.690 Bohr magnetons per cell
# **SG**: F-43m
data_PuScIrRh
_chemical_formula_sum 'Pu1 Sc1 Ir1 Rh1'
_cell_length_a 4.720
_cell_length_b 4.720
_cell_length_c 4.720
_cell_angle_alpha 60.00
_cell_angle_beta 60.00
_cell_angle_gamma 60.00
_symmetry_space_group_name_H-M 'P 1'
_symmetry_Int_Tables_number 1
loop_
_symmetry_equiv_pos_as_xyz
'x,y,z'
loop_
_atom_site_label
_atom_site_type_symbol
_atom_site_fract_x
_atom_site_fract_y
_atom_site_fract_z
_atom_site_occupancy
Sc1 Sc 0.000 0.000 0.000 1
Pu1 Pu 0.500 0.500 0.500 1
Ir1 Ir 0.750 0.750 0.750 1
Rh1 Rh 0.250 0.250 0.250 1


No. 6
# PBE LaSm3, relaxed
# **V**: 139.7 Å³/cell
# **Energy relative to the elements**: 36 meV per atom
# **M_tot**: 0.000 Bohr magnetons per cell
# **SG**: Pmm2
data_LaSm3
_chemical_formula_sum 'La1 Sm3'
_cell_length_a 3.694
_cell_length_b 5.922
_cell_length_c 6.385
_cell_angle_alpha 90.00
_cell_angle_beta 90.00
_cell_angle_gamma 90.00
_symmetry_space_group_name_H-M 'P 1'
_symmetry_Int_Tables_number 1
loop_
_symmetry_equiv_pos_as_xyz
'x,y,z'
loop_
_atom_site_label
_atom_site_type_symbol
_atom_site_fract_x
_atom_site_fract_y
_atom_site_fract_z
_atom_site_occupancy
Sm1 Sm 0.000 0.500 0.334 1
Sm2 Sm 0.500 0.000 0.501 1
Sm3 Sm 0.500 0.500 0.833 1
La1 La 0.000 0.000 0.999 1


No. 7
# PBE Sc2Co2Ag, relaxed
# **V**: 163.1 Å³/cell
# **Energy relative to the elements**: -224 meV per atom
# **M_tot**: 0.000 Bohr magnetons per cell
# **SG**: P4/mbm
data_Sc2Co2Ag
_chemical_formula_sum 'Sc4 Co4 Ag2'
_cell_length_a 6.765
_cell_length_b 6.765
_cell_length_c 3.564
_cell_angle_alpha 90.00
_cell_angle_beta 90.00
_cell_angle_gamma 90.00
_symmetry_space_group_name_H-M 'P 1'
_symmetry_Int_Tables_number 1
loop_
_symmetry_equiv_pos_as_xyz
'x,y,z'
loop_
_atom_site_label
_atom_site_type_symbol
_atom_site_fract_x
_atom_site_fract_y
_atom_site_fract_z
_atom_site_occupancy
Ag1 Ag 0.500 0.500 0.000 1
Ag2 Ag 0.000 0.000 0.000 1
Sc1 Sc 0.324 0.176 0.500 1
Sc2 Sc 0.676 0.824 0.500 1
Sc3 Sc 0.824 0.324 0.500 1
Sc4 Sc 0.176 0.676 0.500 1
Co1 Co 0.620 0.120 0.000 1
Co2 Co 0.380 0.880 0.000 1
Co3 Co 0.120 0.380 0.000 1
Co4 Co 0.880 0.620 0.000 1


No. 8
# PBE La4Dy3S8, relaxed
# **E_tot**: -6.314 eV/atom
# **V**: 402.2 Å³/cell
# **M_tot**: 0.000 Bohr magnetons per cell
# **SG**: R-3m
data_La4Dy3S8
_chemical_formula_sum 'La4 Dy3 S8'
_cell_length_a 7.879
_cell_length_b 7.879
_cell_length_c 8.755
_cell_angle_alpha 63.26
_cell_angle_beta 63.26
_cell_angle_gamma 60.00
_symmetry_space_group_name_H-M 'P 1'
_symmetry_Int_Tables_number 1
loop_
_symmetry_equiv_pos_as_xyz
'x,y,z'
loop_
_atom_site_label
_atom_site_type_symbol
_atom_site_fract_x
_atom_site_fract_y
_atom_site_fract_z
_atom_site_occupancy
S1 S 0.771 0.771 0.686 1
S2 S 0.229 0.229 0.314 1
S3 S 0.251 0.251 0.734 1
S4 S 0.749 0.235 0.266 1
S5 S 0.235 0.749 0.266 1
S6 S 0.749 0.749 0.266 1
S7 S 0.251 0.765 0.734 1
S8 S 0.765 0.251 0.734 1
Dy1 Dy 0.000 0.500 0.500 1
Dy2 Dy 0.500 0.000 0.500 1
Dy3 Dy 0.000 0.000 0.500 1
La1 La 0.650 0.650 0.051 1
La2 La 0.500 0.500 0.500 1
La3 La 0.000 0.000 0.000 1
La4 La 0.350 0.350 0.949 1